(1)
# PmGa3 | Alexandria | GGA-PBE | optimized geometry
# calculated density	6.1	g/cm³
# VASP energy	-29.03	eV for the cell shown
# ΔE to the lowest computed polymorph	0.405	eV per atom
# ΔE_f	-0.171	eV per atom
data_PmGa3
_symmetry_space_group_name_H-M 'I 4/m m m'
_symmetry_Int_Tables_number 139
_symmetry_space_group_name_Hall '-I 4 2'
_cell_length_a 4.1559
_cell_length_b 4.1559
_cell_length_c 11.2278
_cell_angle_alpha 90.00
_cell_angle_beta 90.00
_cell_angle_gamma 90.00
loop_
_atom_site_label
_atom_site_fract_x
_atom_site_fract_y
_atom_site_fract_z
Pm1 0.0000 0.0000 0.0000
Ga1 0.0000 0.0000 0.2786
Ga2 0.0000 0.0000 0.5000

---

(2)
# PmGa3 | Alexandria | GGA-PBE | optimized geometry
# calculated density	6.9	g/cm³
# VASP energy	-46.78	eV for the cell shown
# ΔE to the lowest computed polymorph	0.135	eV per atom
# ΔE_f	-0.441	eV per atom
data_PmGa3
_symmetry_space_group_name_H-M 'R -3 m'
_symmetry_Int_Tables_number 166
_symmetry_space_group_name_Hall '-R 3 2"'
_cell_length_a 4.3299
_cell_length_b 4.3299
_cell_length_c 15.8008
_cell_angle_alpha 90.00
_cell_angle_beta 90.00
_cell_angle_gamma 120.00
loop_
_atom_site_label
_atom_site_fract_x
_atom_site_fract_y
_atom_site_fract_z
Pm1 0.0000 0.0000 0.0000
Ga1 0.0000 0.0000 0.2227
Ga2 0.0000 0.0000 0.5000